# Rb3VSn

An optimized crystal structure of Rb3VSn (PBE, Alexandria via LeMat-Bulk).

The structure in POSCAR format:
```
Rb3VSn
1.0
-4.3507 5.0358 0.1610
-5.0286 -4.3533 0.2767
0.3146 0.0592 6.6492
Sn Rb V
1 3 1
Direct
0.5000 0.5000 0.5000
0.0000 0.5000 0.0000
0.0000 0.0000 0.5000
0.5000 0.0000 0.0000
0.0000 0.0000 0.0000
```

* V: 59.0 A^3/atom
* M_tot: 7.08 μB/f.u.
* ΔH_f (0 K): 1025 meV per atom